[1]
Entry from the Alexandria database: Ba4ZnSn after structural relaxation (PBE).

Cell and atoms, written as POSCAR:
```
Ba4ZnSn
1.0
5.502 -7.904 0.000
5.502 7.904 0.000
-4.565 0.000 6.512
Ba Zn Sn
8 2 2
direct
0.058 0.692 0.905 Ba
0.247 0.355 0.732 Ba
0.308 0.942 0.595 Ba
0.355 0.247 0.232 Ba
0.645 0.753 0.768 Ba
0.692 0.058 0.405 Ba
0.753 0.645 0.268 Ba
0.942 0.308 0.095 Ba
0.001 0.999 0.750 Zn
0.999 0.001 0.250 Zn
0.365 0.635 0.250 Sn
0.635 0.365 0.750 Sn
```

Values from the calculation:
Space group: No. 15
E, eV per atom: -2.44

***

[2]
Entry from the Alexandria database: BaZnSn after structural relaxation (PBE).

Cell and atoms, written as POSCAR:
```
BaZnSn
1.0
6.059 -2.391 0.000
6.059 2.391 0.000
-5.118 0.000 6.404
Ba Zn Sn
2 2 2
direct
0.000 0.000 0.000 Ba
0.104 0.104 0.632 Ba
0.360 0.360 0.516 Zn
0.414 0.414 0.254 Zn
0.705 0.705 0.418 Sn
0.755 0.755 0.095 Sn
```

Values from the calculation:
Space group: No. 8
E, eV per atom: -2.84

***

[3]
Entry from the Alexandria database: BaZn3Sn3 after structural relaxation (PBE).

Cell and atoms, written as POSCAR:
```
BaZn3Sn3
1.0
3.393 1.959 9.206
-3.393 1.959 9.206
0.000 -3.918 9.206
Ba Zn Sn
2 6 6
direct
0.199 0.199 0.199 Ba
0.801 0.801 0.801 Ba
0.178 0.571 0.194 Zn
0.194 0.178 0.571 Zn
0.429 0.806 0.822 Zn
0.571 0.194 0.178 Zn
0.806 0.822 0.429 Zn
0.822 0.429 0.806 Zn
0.251 0.743 0.257 Sn
0.257 0.251 0.743 Sn
0.257 0.743 0.749 Sn
0.743 0.257 0.251 Sn
0.743 0.749 0.257 Sn
0.749 0.257 0.743 Sn
```

Values from the calculation:
Offset from the most stable computed form, meV/atom: 0
Space group: No. 148

***

[4]
Entry from the Alexandria database: BaZnSn after structural relaxation (PBE).

Cell and atoms, written as POSCAR:
```
BaZnSn
1.0
4.695 0.000 0.000
-2.348 4.066 0.000
0.000 0.000 5.071
Ba Zn Sn
1 1 1
direct
0.000 0.000 0.000 Ba
0.333 0.667 0.500 Zn
0.667 0.333 0.500 Sn
```

Values from the calculation:
Space group: No. 187
E, eV per atom: -2.91

***

[5]
Entry from the Alexandria database: BaZn3Sn2 after structural relaxation (PBE).

Cell and atoms, written as POSCAR:
```
BaZn3Sn2
1.0
8.133 -2.512 0.000
8.133 2.512 0.000
-3.428 0.000 7.534
Ba Zn Sn
2 6 4
direct
0.152 0.152 0.095 Ba
0.848 0.848 0.905 Ba
0.016 0.016 0.354 Zn
0.309 0.309 0.545 Zn
0.412 0.412 0.378 Zn
0.588 0.588 0.622 Zn
0.691 0.691 0.455 Zn
0.984 0.984 0.646 Zn
0.177 0.177 0.670 Sn
0.483 0.483 0.805 Sn
0.517 0.517 0.195 Sn
0.823 0.823 0.330 Sn
```

Values from the calculation:
Offset from the most stable computed form, meV/atom: 0
Space group: No. 12

***

[6]
Entry from the Alexandria database: BaZnSn after structural relaxation (PBE).

Cell and atoms, written as POSCAR:
```
BaZnSn
1.0
4.714 0.000 0.000
-2.357 4.083 0.000
0.000 0.000 20.124
Ba Zn Sn
4 4 4
direct
0.000 0.000 0.000 Ba
0.000 0.000 0.250 Ba
0.000 0.000 0.500 Ba
0.000 0.000 0.750 Ba
0.333 0.667 0.124 Zn
0.333 0.667 0.376 Zn
0.667 0.333 0.624 Zn
0.667 0.333 0.876 Zn
0.333 0.667 0.625 Sn
0.333 0.667 0.875 Sn
0.667 0.333 0.125 Sn
0.667 0.333 0.375 Sn
```

Values from the calculation:
Space group: No. 194
E, eV per atom: -2.92

***

[7]
Entry from the Alexandria database: Ba3Zn4Sn4 after structural relaxation (PBE).

Cell and atoms, written as POSCAR:
```
Ba3Zn4Sn4
1.0
13.984 -2.380 0.000
13.984 2.380 0.000
-0.869 0.000 4.862
Ba Zn Sn
3 4 4
direct
0.000 0.000 0.000 Ba
0.346 0.346 0.846 Ba
0.654 0.654 0.154 Ba
0.098 0.098 0.598 Zn
0.250 0.250 0.249 Zn
0.750 0.750 0.751 Zn
0.902 0.902 0.402 Zn
0.197 0.197 0.695 Sn
0.447 0.447 0.447 Sn
0.553 0.553 0.553 Sn
0.803 0.803 0.305 Sn
```

Values from the calculation:
Space group: No. 12
E, eV per atom: -2.91

***

[8]
Entry from the Alexandria database: BaZn3Sn3 after structural relaxation (PBE).

Cell and atoms, written as POSCAR:
```
BaZn3Sn3
1.0
7.487 0.000 0.000
0.000 7.487 0.000
0.000 0.000 7.487
Ba Zn Sn
2 6 6
direct
0.000 0.000 0.000 Ba
0.500 0.500 0.500 Ba
0.000 0.250 0.500 Zn
0.000 0.750 0.500 Zn
0.250 0.500 0.000 Zn
0.500 0.000 0.250 Zn
0.500 0.000 0.750 Zn
0.750 0.500 0.000 Zn
0.000 0.500 0.250 Sn
0.000 0.500 0.750 Sn
0.250 0.000 0.500 Sn
0.500 0.250 0.000 Sn
0.500 0.750 0.000 Sn
0.750 0.000 0.500 Sn
```

Values from the calculation:
Offset from the most stable computed form, meV/atom: 122
Space group: No. 223

***

[9]
Entry from the Alexandria database: BaZn3Sn after structural relaxation (PBE).

Cell and atoms, written as POSCAR:
```
BaZn3Sn
1.0
5.884 0.000 0.000
0.000 5.884 0.000
0.000 0.000 5.884
Ba Zn Sn
1 3 1
direct
0.000 0.000 0.000 Ba
0.000 0.000 0.500 Zn
0.000 0.500 0.000 Zn
0.500 0.000 0.000 Zn
0.500 0.500 0.500 Sn
```

Values from the calculation:
Offset from the most stable computed form, meV/atom: 822
Space group: No. 221

***

[10]
Entry from the Alexandria database: Ba2ZnSn3 after structural relaxation (PBE).

Cell and atoms, written as POSCAR:
```
Ba2ZnSn3
1.0
4.806 0.000 0.000
0.000 5.119 0.000
0.000 0.000 8.297
Ba Zn Sn
2 1 3
direct
0.000 0.000 0.000 Ba
0.500 0.000 0.485 Ba
0.000 0.500 0.671 Zn
0.000 0.500 0.349 Sn
0.500 0.500 0.154 Sn
0.500 0.500 0.804 Sn
```

Values from the calculation:
Offset from the most stable computed form, meV/atom: 11
Space group: No. 25

***

[11]
Entry from the Alexandria database: Ba2ZnSn2 after structural relaxation (PBE).

Cell and atoms, written as POSCAR:
```
Ba2ZnSn2
1.0
6.400 -2.472 0.000
6.400 2.472 0.000
-5.494 0.000 11.150
Ba Zn Sn
4 2 4
direct
0.102 0.102 0.404 Ba
0.294 0.294 0.850 Ba
0.706 0.706 0.150 Ba
0.898 0.898 0.596 Ba
0.438 0.438 0.186 Zn
0.562 0.562 0.814 Zn
0.048 0.048 0.913 Sn
0.386 0.386 0.383 Sn
0.614 0.614 0.617 Sn
0.952 0.952 0.087 Sn
```

Values from the calculation:
Offset from the most stable computed form, meV/atom: 0
Space group: No. 12

***

[12]
Entry from the Alexandria database: BaZnSn2 after structural relaxation (PBE).

Cell and atoms, written as POSCAR:
```
BaZnSn2
1.0
2.721 -9.690 0.000
2.721 9.690 0.000
0.000 0.000 4.826
Ba Zn Sn
2 2 4
direct
0.102 0.898 0.750 Ba
0.898 0.102 0.250 Ba
0.481 0.519 0.750 Zn
0.519 0.481 0.250 Zn
0.245 0.755 0.250 Sn
0.338 0.662 0.750 Sn
0.662 0.338 0.250 Sn
0.755 0.245 0.750 Sn
```

Values from the calculation:
Space group: No. 63
E, eV per atom: -3.11

***

The following magnetization values (in μB per cell) correspond, in order, to the records above: 1.25; 0.00; 0.00; 0.00; 0.00; 0.00; 0.00; 0.00; 0.00; 0.00; 0.00; 0.00.